RhCBr2 | PBE-GGA | optimized geometry

The symmetry is I-42d, No. 122. For the polymorph energy (0 for the lowest one), the calculation gives 0.029 eV/atom. The uncorrected formation energy comes out at 1.616 eV per atom. The value obtained for the total energy is -3.36 eV/atom.

Cell lengths 5.8644, 5.8644, 6.5844 Å; angles 63.56, 63.56, 90.00 degrees
Last column: nearest neighbours and their distance in Å.
Sites, in units of the cell vectors:
Rh 0.0000 0.0000 0.0000  4 Br 2.48
Rh 0.7500 0.2500 0.5000  4 Br 2.48
Br 0.1383 0.6250 0.2500  2 C 2.39, 2 Rh 2.48
Br 0.3750 0.3883 0.7500  2 C 2.39, 2 Rh 2.48
C 0.2500 0.7500 0.5000  4 Br 2.39
Br 0.8750 0.8617 0.7500  2 C 2.39, 2 Rh 2.48
Br 0.6117 0.1250 0.2500  2 C 2.39, 2 Rh 2.48
C 0.5000 0.5000 0.0000  4 Br 2.39